Record 1
SiAgSb: optimized geometry, PBE.

Cell and atoms, written as POSCAR:
```
SiAgSb
1.0
0.000 3.253 3.253
3.253 0.000 3.253
3.253 3.253 0.000
Ag Sb Si
1 1 1
direct
0.250 0.250 0.250 Ag
0.750 0.750 0.750 Sb
0.000 0.000 0.000 Si
```

Summary:
Excess energy over the best structure of this formula in the dataset, kJ/mol of atoms: 0.0

Record 2
UTaPb: optimized geometry, PBE.

Cell and atoms, written as POSCAR:
```
UTaPb
1.0
0.000 3.432 3.432
3.432 0.000 3.432
3.432 3.432 0.000
U Ta Pb
1 1 1
direct
0.750 0.750 0.750 U
0.250 0.250 0.250 Ta
0.000 0.000 0.000 Pb
```

Summary:
Excess energy over the best structure of this formula in the dataset, kJ/mol of atoms: 0.0
Magnetic moment, μB per formula unit: 3.30

Record 3
AcTmAl: optimized geometry, PBE.

Cell and atoms, written as POSCAR:
```
AcTmAl
1.0
-1.418 1.519 4.833
-3.525 3.856 0.617
-4.819 -1.105 1.797
Al Tm Ac
1 1 1
direct
0.250 0.250 0.250 Al
0.000 0.000 0.000 Tm
0.500 0.500 0.500 Ac
```

Summary:
Excess energy over the best structure of this formula in the dataset, kJ/mol of atoms: 0.0
Magnetic moment, μB per formula unit: 0.11

Record 4
Be2AlW: optimized geometry, PBE.

Cell and atoms, written as POSCAR:
```
Be2AlW
1.0
0.000 2.924 2.924
2.924 0.000 2.924
2.924 2.924 0.000
W Be Al
1 2 1
direct
0.250 0.250 0.250 W
0.000 0.000 0.000 Be
0.750 0.750 0.750 Be
0.500 0.500 0.500 Al
```

Summary:
Magnetic moment, μB per formula unit: 0.61
VASP energy, eV per formula unit: -22.29

Record 5
TbPrPd: optimized geometry, PBE.

Cell and atoms, written as POSCAR:
```
TbPrPd
1.0
3.101 2.175 3.226
-0.401 -0.955 4.866
3.489 -2.698 2.302
Pr Tb Pd
1 1 1
direct
0.250 0.250 0.250 Pr
0.750 0.750 0.750 Tb
0.000 0.000 0.000 Pd
```

Summary:
Formation energy from the elements, eV/atom: -0.400
Magnetic moment, μB per formula unit: 0.00

Record 6
TbNdCu2N4: optimized geometry, PBE.

Cell and atoms, written as POSCAR:
```
TbNdCu2N4
1.0
-1.061 2.424 -2.182
0.344 -2.198 -2.610
-7.940 -2.513 1.070
N Nd Cu Tb
4 1 2 1
direct
0.500 0.000 0.992 N
0.500 0.500 0.349 N
0.000 0.000 0.655 N
0.000 0.500 0.992 N
0.000 0.000 0.200 Nd
0.000 0.500 0.504 Cu
0.500 0.000 0.504 Cu
0.500 0.500 0.803 Tb
```

Summary:
Magnetic moment, μB per formula unit: 0.14
VASP energy, eV per formula unit: -50.14

Record 7
TcAgNO: optimized geometry, PBE.

Cell and atoms, written as POSCAR:
```
TcAgNO
1.0
3.244 0.000 0.000
0.000 5.299 0.000
0.000 0.000 6.443
Ag O N Tc
2 2 2 2
direct
0.000 0.982 0.600 Ag
0.000 0.482 0.400 Ag
0.500 0.870 0.897 O
0.500 0.370 0.103 O
0.000 0.878 0.260 N
0.000 0.378 0.740 N
0.500 0.524 0.819 Tc
0.500 0.024 0.181 Tc
```

Summary:
Excess energy over the best structure of this formula in the dataset, kJ/mol of atoms: 6.9
Magnetic moment, μB per formula unit: 0.00

Record 8
HfSc3Sb2C2: optimized geometry, PBE.

Cell and atoms, written as POSCAR:
```
HfSc3Sb2C2
1.0
3.407 0.000 0.000
-1.703 2.950 0.000
0.000 0.000 14.245
Sc Sb C Hf
3 2 2 1
direct
0.667 0.333 0.916 Sc
0.000 0.000 0.416 Sc
0.667 0.333 0.583 Sc
0.667 0.333 0.247 Sb
0.000 0.000 0.750 Sb
0.333 0.667 0.004 C
0.333 0.667 0.499 C
0.000 0.000 0.085 Hf
```

Summary:
Magnetic moment, μB per formula unit: 0.00
VASP energy, eV per formula unit: -61.67

Record 9
DyTlCdTe3: optimized geometry, PBE.

Cell and atoms, written as POSCAR:
```
DyTlCdTe3
1.0
11.673 0.000 0.000
0.000 7.770 2.218
0.000 -7.770 2.218
Te Tl Dy Cd
6 2 2 2
direct
0.750 0.079 0.921 Te
0.250 0.921 0.079 Te
0.452 0.637 0.363 Te
0.952 0.363 0.637 Te
0.548 0.363 0.637 Te
0.048 0.637 0.363 Te
0.750 0.759 0.241 Tl
0.250 0.241 0.759 Tl
0.000 0.000 0.000 Dy
0.500 0.000 0.000 Dy
0.750 0.462 0.538 Cd
0.250 0.538 0.462 Cd
```

Summary:
Excess energy over the best structure of this formula in the dataset, kJ/mol of atoms: 0.1
Magnetic moment, μB per formula unit: 0.00

Record 10
TeW2CS: optimized geometry, PBE.

Cell and atoms, written as POSCAR:
```
TeW2CS
1.0
-2.413 -0.234 -2.295
1.040 -2.732 1.612
-6.564 1.484 6.748
S W Te C
1 2 1 1
direct
0.667 0.333 0.714 S
0.667 0.333 0.093 W
0.333 0.667 0.878 W
0.333 0.667 0.318 Te
0.000 0.000 0.997 C
```

Summary:
Magnetic moment, μB per formula unit: 0.01
VASP energy, eV per formula unit: -42.86

Record 11
RbTbTlTe3: optimized geometry, PBE.

Cell and atoms, written as POSCAR:
```
RbTbTlTe3
1.0
16.240 0.000 0.000
0.000 4.589 0.000
0.000 0.000 12.697
Te Tb Rb Tl
12 4 4 4
direct
0.086 0.750 0.350 Te
0.145 0.750 0.789 Te
0.099 0.250 0.081 Te
0.586 0.750 0.150 Te
0.645 0.750 0.711 Te
0.599 0.250 0.419 Te
0.355 0.250 0.289 Te
0.414 0.250 0.850 Te
0.401 0.750 0.581 Te
0.914 0.250 0.650 Te
0.901 0.750 0.919 Te
0.855 0.250 0.211 Te
0.975 0.750 0.139 Tb
0.475 0.750 0.361 Tb
0.525 0.250 0.639 Tb
0.025 0.250 0.861 Tb
0.730 0.250 0.950 Rb
0.230 0.250 0.550 Rb
0.770 0.750 0.450 Rb
0.270 0.750 0.050 Rb
0.532 0.750 0.899 Tl
0.968 0.250 0.399 Tl
0.468 0.250 0.101 Tl
0.032 0.750 0.601 Tl
```

Summary:
Excess energy over the best structure of this formula in the dataset, kJ/mol of atoms: 0.0
Magnetic moment, μB per formula unit: 0.00

Record 12
PaAsNO: optimized geometry, PBE.

Cell and atoms, written as POSCAR:
```
PaAsNO
1.0
5.024 0.000 0.000
0.000 5.024 0.000
0.000 0.000 4.450
O N As Pa
2 2 2 2
direct
0.750 0.250 0.000 O
0.250 0.750 0.000 O
0.250 0.250 0.685 N
0.750 0.750 0.315 N
0.250 0.250 0.106 As
0.750 0.750 0.894 As
0.250 0.750 0.500 Pa
0.750 0.250 0.500 Pa
```

Summary:
Excess energy over the best structure of this formula in the dataset, kJ/mol of atoms: 43.0
Magnetic moment, μB per formula unit: 0.01